1.
The following is a PBE calculation of CaLaPb2 after structural relaxation, from the Alexandria database.

Structure (CIF):
```
data_CaLaPb2
_cell_length_a 6.669
_cell_length_b 6.669
_cell_length_c 6.669
_cell_angle_alpha 141.63
_cell_angle_beta 135.75
_cell_angle_gamma 59.98
_symmetry_space_group_name_H-M 'P 1'
_symmetry_Int_Tables_number 1
loop_
_symmetry_equiv_pos_as_xyz
'x,y,z'
loop_
_atom_site_label
_atom_site_type_symbol
_atom_site_fract_x
_atom_site_fract_y
_atom_site_fract_z
_atom_site_occupancy
Ca1 Ca 0.000 0.000 0.000 1
La1 La 0.744 0.244 0.500 1
Pb1 Pb 0.264 0.764 0.500 1
Pb2 Pb 0.479 0.479 0.000 1
```

Properties
**Magnetization**: 0.0 Bohr magnetons per cell
**Calculated total energy**: -4.093 eV/atom
**ΔH_f (0 K)**: -0.51 eV per atom

2.
The following is a PBE calculation of BaInAs2 after structural relaxation, from the Alexandria database.

Structure (CIF):
```
data_BaInAs2
_cell_length_a 3.944
_cell_length_b 3.944
_cell_length_c 7.117
_cell_angle_alpha 90.00
_cell_angle_beta 90.00
_cell_angle_gamma 90.00
_symmetry_space_group_name_H-M 'P 1'
_symmetry_Int_Tables_number 1
loop_
_symmetry_equiv_pos_as_xyz
'x,y,z'
loop_
_atom_site_label
_atom_site_type_symbol
_atom_site_fract_x
_atom_site_fract_y
_atom_site_fract_z
_atom_site_occupancy
Ba1 Ba 0.000 0.000 0.000 1
In1 In 0.500 0.500 0.329 1
As1 As 0.000 0.000 0.545 1
As2 As 0.500 0.500 0.703 1
```

Properties
**Magnetization**: 0.0 Bohr magnetons per cell
**Calculated total energy**: -3.755 eV/atom
**ΔH_f (0 K)**: -0.27 eV per atom

3.
The following is a PBE calculation of Ba6Na2RhCl after structural relaxation, from the Alexandria database.

Structure (CIF):
```
data_Ba6Na2RhCl
_cell_length_a 9.012
_cell_length_b 9.012
_cell_length_c 9.012
_cell_angle_alpha 90.05
_cell_angle_beta 119.97
_cell_angle_gamma 119.97
_symmetry_space_group_name_H-M 'P 1'
_symmetry_Int_Tables_number 1
loop_
_symmetry_equiv_pos_as_xyz
'x,y,z'
loop_
_atom_site_label
_atom_site_type_symbol
_atom_site_fract_x
_atom_site_fract_y
_atom_site_fract_z
_atom_site_occupancy
Ba1 Ba 0.001 0.240 0.240 1
Ba2 Ba 0.001 0.761 0.240 1
Ba3 Ba 0.480 0.240 0.239 1
Ba4 Ba 0.520 0.760 0.761 1
Ba5 Ba 0.999 0.239 0.760 1
Ba6 Ba 0.999 0.760 0.760 1
Na1 Na 0.499 0.249 0.750 1
Na2 Na 0.501 0.751 0.250 1
Rh1 Rh 0.000 0.000 0.000 1
Cl1 Cl 0.000 0.500 0.500 1
```

Properties
**Magnetization**: 0.0 Bohr magnetons per cell
**Calculated total energy**: -2.766 eV/atom
**ΔE_f (raw)**: -0.43 eV per atom

4.
The following is a PBE calculation of RbTlSb2 after structural relaxation, from the Alexandria database.

Structure (CIF):
```
data_RbTlSb2
_cell_length_a 10.198
_cell_length_b 10.198
_cell_length_c 10.198
_cell_angle_alpha 23.07
_cell_angle_beta 23.07
_cell_angle_gamma 23.07
_symmetry_space_group_name_H-M 'P 1'
_symmetry_Int_Tables_number 1
loop_
_symmetry_equiv_pos_as_xyz
'x,y,z'
loop_
_atom_site_label
_atom_site_type_symbol
_atom_site_fract_x
_atom_site_fract_y
_atom_site_fract_z
_atom_site_occupancy
Rb1 Rb 0.000 0.000 0.000 1
Tl1 Tl 0.500 0.500 0.500 1
Sb1 Sb 0.234 0.234 0.234 1
Sb2 Sb 0.766 0.766 0.766 1
```

Properties
**Magnetization**: 0.0 Bohr magnetons per cell
**Polymorph energy (0 for the lowest one)**: 302 meV/atom
**Calculated total energy**: -2.791 eV/atom
**ΔE_f (raw)**: 0.10 eV per atom

5.
The following is a PBE calculation of K2AsRh after structural relaxation, from the Alexandria database.

Structure (CIF):
```
data_K2AsRh
_cell_length_a 6.339
_cell_length_b 6.339
_cell_length_c 6.339
_cell_angle_alpha 143.16
_cell_angle_beta 126.41
_cell_angle_gamma 66.81
_symmetry_space_group_name_H-M 'P 1'
_symmetry_Int_Tables_number 1
loop_
_symmetry_equiv_pos_as_xyz
'x,y,z'
loop_
_atom_site_label
_atom_site_type_symbol
_atom_site_fract_x
_atom_site_fract_y
_atom_site_fract_z
_atom_site_occupancy
K1 K 0.000 0.000 0.000 1
K2 K 0.692 0.192 0.500 1
As1 As 0.411 0.411 0.000 1
Rh1 Rh 0.302 0.802 0.500 1
```

Properties
**Magnetization**: 0.0 Bohr magnetons per cell
**Calculated total energy**: -3.756 eV/atom
**ΔH_f (0 K)**: -0.21 eV per atom

6.
The following is a PBE calculation of Tb2NdGa2Hg2 after structural relaxation, from the Alexandria database.

Structure (CIF):
```
data_Tb2NdGa2Hg2
_cell_length_a 9.814
_cell_length_b 9.814
_cell_length_c 9.814
_cell_angle_alpha 27.51
_cell_angle_beta 27.51
_cell_angle_gamma 27.51
_symmetry_space_group_name_H-M 'P 1'
_symmetry_Int_Tables_number 1
loop_
_symmetry_equiv_pos_as_xyz
'x,y,z'
loop_
_atom_site_label
_atom_site_type_symbol
_atom_site_fract_x
_atom_site_fract_y
_atom_site_fract_z
_atom_site_occupancy
Tb1 Tb 0.129 0.129 0.129 1
Tb2 Tb 0.871 0.871 0.871 1
Nd1 Nd 0.000 0.000 0.000 1
Ga1 Ga 0.249 0.249 0.249 1
Ga2 Ga 0.751 0.751 0.751 1
Hg1 Hg 0.399 0.399 0.399 1
Hg2 Hg 0.601 0.601 0.601 1
```

Properties
**Magnetization**: 0.0 Bohr magnetons per cell
**Calculated total energy**: -3.339 eV/atom
**ΔH_f (0 K)**: -0.38 eV per atom